No. 1
Entry from the Alexandria database: a relaxed structure of CaMg2ZnF8 (PBE-GGA).

Computed properties:
- space group = P2/m (10)
- formation energy from raw total energies (eV per atom) = -3.31

a b c (Å): 4.8674 6.4530 4.8747
angles (deg): 90.00 90.81 90.00
Closest atoms and distances in Å follow each position.
Atoms (fractional coordinates):
Ca 0.0000 0.0000 0.0000  6 F 2.24
Mg 0.5000 0.2577 0.5000  6 F 2.00-2.07
Mg 0.5000 0.7423 0.5000  6 F 2.00-2.07
Zn 0.0000 0.5000 0.0000  6 F 2.06-2.12
F 0.2094 0.2688 0.2068  1 Mg 2.00, 1 Zn 2.06
F 0.2094 0.7312 0.2068  1 Mg 2.00, 1 Zn 2.06
F 0.3051 0.5000 0.6925  2 Mg 2.06, 1 Zn 2.12
F 0.3213 0.0000 0.6762  2 Mg 2.07, 1 Ca 2.24
F 0.6787 0.0000 0.3238  2 Mg 2.07, 1 Ca 2.24
F 0.6949 0.5000 0.3075  2 Mg 2.06, 1 Zn 2.12
F 0.7906 0.2688 0.7932  1 Mg 2.00, 1 Zn 2.06
F 0.7906 0.7312 0.7932  1 Mg 2.00, 1 Zn 2.06

No. 2
Entry from the Alexandria database: a relaxed structure of Dy2PaPb (PBE-GGA).

Computed properties:
- space group = R-3m (166)
- ΔE_f (kJ per mole of atoms) = 11.2

a b c (Å): 11.9914 11.9914 11.9914
angles (deg): 16.49 16.49 16.49
Closest atoms and distances in Å follow each position.
Atoms (fractional coordinates):
Dy 0.0903 0.0903 0.0903  1 Pb 3.20, 3 Pa 3.36, 6 Dy 3.44
Dy 0.9097 0.9097 0.9097  1 Pb 3.20, 3 Pa 3.36, 6 Dy 3.44
Pa 0.5000 0.5000 0.5000  6 Dy 3.36, 6 Pa 3.44
Pb 0.0000 0.0000 0.0000  2 Dy 3.20, 6 Pb 3.44

No. 3
Entry from the Alexandria database: a relaxed structure of In12Hg3Sb (PBE-GGA).

Computed properties:
- space group = P4/mmm (123)
- formation energy from raw total energies (eV per atom) = 0.02

a b c (Å): 4.8570 4.8570 18.2713
angles (deg): 90.00 90.00 90.00
Closest atoms and distances in Å follow each position.
Atoms (fractional coordinates):
In 0.0000 0.0000 0.0000  8 In 3.33, 4 Sb 3.43
In 0.0000 0.0000 0.2482  8 In 3.31-3.35, 4 Hg 3.44
In 0.0000 0.0000 0.5000  8 In 3.34, 4 Hg 3.43
In 0.0000 0.0000 0.7518  8 In 3.31-3.35, 4 Hg 3.44
In 0.0000 0.5000 0.1250  8 In 3.31-3.43, 2 Sb 3.33, 2 Hg 3.37
In 0.0000 0.5000 0.3743  4 Hg 3.29-3.34, 8 In 3.34-3.43
In 0.0000 0.5000 0.6257  4 Hg 3.29-3.34, 8 In 3.34-3.43
In 0.0000 0.5000 0.8750  8 In 3.31-3.43, 2 Sb 3.33, 2 Hg 3.37
In 0.5000 0.0000 0.1250  8 In 3.31-3.43, 2 Sb 3.33, 2 Hg 3.37
In 0.5000 0.0000 0.3743  4 Hg 3.29-3.34, 8 In 3.34-3.43
In 0.5000 0.0000 0.6257  4 Hg 3.29-3.34, 8 In 3.34-3.43
In 0.5000 0.0000 0.8750  8 In 3.31-3.43, 2 Sb 3.33, 2 Hg 3.37
Hg 0.5000 0.5000 0.2527  12 In 3.29-3.44
Hg 0.5000 0.5000 0.5000  12 In 3.34-3.43
Hg 0.5000 0.5000 0.7473  12 In 3.29-3.44
Sb 0.5000 0.5000 0.0000  12 In 3.33-3.43

No. 4
Entry from the Alexandria database: a relaxed structure of CaFe2Ir (PBE-GGA).

Computed properties:
- space group = Fm-3m (225)
- ΔE_f (kJ per mole of atoms) = 61.8

a b c (Å): 4.3483 4.3483 4.3483
angles (deg): 60.00 60.00 60.00
Closest atoms and distances in Å follow each position.
Atoms (fractional coordinates):
Ca 0.0000 0.0000 0.0000  8 Fe 2.66
Fe 0.2500 0.2500 0.2500  4 Ir 2.66, 4 Ca 2.66
Fe 0.7500 0.7500 0.7500  4 Ir 2.66, 4 Ca 2.66
Ir 0.5000 0.5000 0.5000  8 Fe 2.66

No. 5
Entry from the Alexandria database: a relaxed structure of Pr2Ho7Th2 (PBE-GGA).

Computed properties:
- space group = C2/m (12)
- ΔE_f (kJ per mole of atoms) = 17.3

a b c (Å): 8.1383 8.1383 6.0106
angles (deg): 106.39 106.39 91.13
Closest atoms and distances in Å follow each position.
Atoms (fractional coordinates):
Pr 0.0918 0.0918 0.3073  7 Ho 3.40-3.79, 2 Pr 3.43-3.70, 2 Th 3.80
Pr 0.9082 0.9082 0.6927  7 Ho 3.40-3.79, 2 Pr 3.43-3.70, 2 Th 3.80
Ho 0.0906 0.5614 0.3271  4 Ho 3.22-3.56, 2 Th 3.32-3.49
Ho 0.2704 0.2704 0.9177  5 Ho 3.40-3.56, 3 Pr 3.40-3.79, 2 Th 3.45
Ho 0.4386 0.9094 0.6729  4 Ho 3.22-3.56, 2 Th 3.32-3.49
Ho 0.5000 0.5000 0.5000  6 Ho 3.29-3.42
Ho 0.5614 0.0906 0.3271  4 Ho 3.22-3.56, 2 Th 3.32-3.49
Ho 0.7296 0.7296 0.0823  5 Ho 3.40-3.56, 3 Pr 3.40-3.79, 2 Th 3.45
Ho 0.9094 0.4386 0.6729  4 Ho 3.22-3.56, 2 Th 3.32-3.49
Th 0.2919 0.7081 0.0000  6 Ho 3.32-3.49
Th 0.7081 0.2919 0.0000  6 Ho 3.32-3.49

No. 6
Entry from the Alexandria database: a relaxed structure of PbW3 (PBE-GGA).

Computed properties:
- space group = Pm-3m (221)
- ΔE_f (kJ per mole of atoms) = 434.7

a b c (Å): 5.0848 5.0848 5.0848
angles (deg): 90.00 90.00 90.00
Closest atoms and distances in Å follow each position.
Atoms (fractional coordinates):
Pb 0.0000 0.0000 0.0000  6 W 2.54
W 0.0000 0.0000 0.5000  2 Pb 2.54
W 0.0000 0.5000 0.0000  2 Pb 2.54
W 0.5000 0.0000 0.0000  2 Pb 2.54

| no. | density of states at the Fermi level (states/eV/atom) | M_tot (μB per formula unit) |
| --- | --- | --- |
| 1 | 0.00 | 0.0 |
| 2 | 1.26 | 0.0 |
| 3 | 0.37 | 0.0 |
| 4 | 3.10 | 0.0 |
| 5 | 1.57 | 0.0 |
| 6 | 1.83 | 0.0 |